VASP calculation (PBE) on LiCdOs2 after structural relaxation.

Results
Energy of formation from the pure elements, eV per atom: 0.43
Fermi-level density of states, states/eV/atom: 1.026

a b c (Å): 2.8653 4.6642 9.5243
angles (deg): 90.00 90.00 90.00
Closest atoms and distances in Å follow each position.
Space group Cmm2 (No. 35)
Asymmetric unit:
Li1 0.0000 0.0000 0.0000  2 Os 2.66, 6 Li 2.74-2.87, 2 Cd 2.90
Cd1 0.0000 0.5000 0.7359  6 Cd 2.74-2.87, 2 Li 2.90, 2 Os 2.98
Os1 0.0000 0.0000 0.4620  8 Os 2.59-2.87
Os2 0.0000 0.5000 0.2354  8 Os 2.59-2.87, 2 Li 2.66